An optimized crystal structure of Tb2SnPt. Source: Alexandria, functional GGA-PBE. Values from VASP.

Results
Formation energy ... -0.81 eV/atom
Crystal system ... trigonal
SG ... R-3m (166)

The structure in Quantum ESPRESSO input format:
```
&SYSTEM
  ibrav = 0, nat = 4, ntyp = 3
/
ATOMIC_SPECIES
Tb 158.93 Tb.upf
Sn 118.71 Sn.upf
Pt 195.08 Pt.upf
CELL_PARAMETERS angstrom
1.974 1.140 8.088
-1.974 1.140 8.088
0.000 -2.279 8.088
ATOMIC_POSITIONS crystal
Tb 0.236 0.236 0.236
Tb 0.764 0.764 0.764
Sn 0.000 0.000 0.000
Pt 0.500 0.500 0.500
```